# PBE-GGA Na2VAgSe4, optimized geometry
# **Energy relative to the elements, uncorrected**: -679 meV/atom
# **Total DFT energy (no corrections)**: -67.95 eV for the cell shown
# **Total magnetization**: 0.0 μB/f.u.
data_Na2VAgSe4
_chemical_formula_sum 'Na4 V2 Ag2 Se8'
_symmetry_space_group_name_H-M 'P 1'
_symmetry_Int_Tables_number 1
_symmetry_space_group_name_Hall 'P 1'
_cell_length_a 13.960
_cell_length_b 12.789
_cell_length_c 6.956
_cell_angle_alpha 84.49
_cell_angle_beta 65.77
_cell_angle_gamma 29.73
loop_
_atom_site_label
_atom_site_type_symbol
_atom_site_fract_x
_atom_site_fract_y
_atom_site_fract_z
Na1 Na 0.079 0.079 0.671
Na2 Na 0.329 0.329 0.921
Na3 Na 0.671 0.671 0.079
Na4 Na 0.921 0.921 0.329
V1 V 0.375 0.375 0.375
V2 V 0.625 0.625 0.625
Ag1 Ag 0.125 0.125 0.125
Ag2 Ag 0.875 0.875 0.875
Se1 Se 0.000 0.364 0.469
Se2 Se 0.000 0.636 0.531
Se3 Se 0.334 0.531 0.636
Se4 Se 0.364 0.000 0.666
Se5 Se 0.469 0.666 0.000
Se6 Se 0.531 0.334 0.000
Se7 Se 0.636 0.000 0.334
Se8 Se 0.666 0.469 0.364